A plane-wave DFT calculation with PBE-GGA was carried out for a relaxed AcTmGePt crystal.

a = 4.747 Å, b = 4.747 Å, c = 10.351 Å
α = 90.00°, β = 90.00°, γ = 90.00°
Element x y z (fractional)
Ac1 0.250 0.250 0.171
Ac2 0.750 0.750 0.829
Tm1 0.250 0.750 0.500
Tm2 0.750 0.250 0.500
Ge1 0.250 0.250 0.876
Ge2 0.750 0.750 0.124
Pt1 0.250 0.250 0.644
Pt2 0.750 0.750 0.356

Results
The calculation puts the relative energy among the computed polymorphs at 0.0 kJ/mol of atoms. The formation energy comes out at -845.0 meV/atom. The total moment comes out at 0.0 μB/f.u.

A plane-wave DFT calculation with PBE-GGA was carried out for a relaxed RbInH3 crystal.

a = 3.995 Å, b = 5.184 Å, c = 9.886 Å
α = 90.00°, β = 96.09°, γ = 90.00°
Element x y z (fractional)
Rb1 0.073 0.250 0.267
Rb2 0.927 0.750 0.733
In1 0.480 0.250 0.928
In2 0.520 0.750 0.072
H1 0.041 0.750 0.148
H2 0.061 0.250 0.574
H3 0.133 0.750 0.445
H4 0.867 0.250 0.555
H5 0.939 0.750 0.426
H6 0.959 0.250 0.852

Results
The total moment comes out at 0.0 μB/f.u.

A plane-wave DFT calculation with PBE-GGA was carried out for a relaxed Ac3NdPb crystal.

a = 4.011 Å, b = 8.167 Å, c = 13.225 Å
α = 75.37°, β = 81.28°, γ = 75.82°
Element x y z (fractional)
Ac1 0.116 0.231 0.039
Ac2 0.337 0.295 0.530
Ac3 0.367 0.534 0.232
Ac4 0.633 0.466 0.768
Ac5 0.663 0.705 0.470
Ac6 0.884 0.769 0.961
Nd1 0.025 0.100 0.350
Nd2 0.975 0.900 0.650
Pb1 0.302 0.087 0.806
Pb2 0.698 0.913 0.194

Results
The formation energy comes out at -150.7 meV/atom. The total moment comes out at 0.0 μB/f.u.

A plane-wave DFT calculation with PBE-GGA was carried out for a relaxed K3ErTa2O9 crystal.

a = 5.898 Å, b = 5.898 Å, c = 7.253 Å
α = 90.00°, β = 90.00°, γ = 120.00°
Element x y z (fractional)
K1 0.000 0.000 0.000
K2 0.333 0.667 0.667
K3 0.667 0.333 0.333
Er1 0.000 0.000 0.500
Ta1 0.333 0.667 0.166
Ta2 0.667 0.333 0.834
O1 0.000 0.500 0.000
O2 0.176 0.351 0.316
O3 0.176 0.824 0.316
O4 0.351 0.176 0.684
O5 0.500 0.000 0.000
O6 0.500 0.500 0.000
O7 0.649 0.824 0.316
O8 0.824 0.176 0.684
O9 0.824 0.649 0.684

Results
Its energy relative to the elements, uncorrected is -2.47 eV per atom. The total moment comes out at 2.0 μB/f.u.

A plane-wave DFT calculation with PBE-GGA was carried out for a relaxed La3PmNd2Se6 crystal.

a = 7.399 Å, b = 7.399 Å, c = 7.379 Å
α = 99.62°, β = 99.62°, γ = 120.14°
Element x y z (fractional)
La1 0.000 0.000 0.000
La2 0.333 0.667 0.000
La3 0.667 0.333 0.000
Pm1 0.500 0.500 0.500
Nd1 0.167 0.833 0.500
Nd2 0.833 0.167 0.500
Se1 0.087 0.419 0.256
Se2 0.250 0.250 0.745
Se3 0.419 0.087 0.256
Se4 0.581 0.913 0.744
Se5 0.750 0.750 0.255
Se6 0.913 0.581 0.744

Results
Its energy relative to the elements, uncorrected is -1.93 eV per atom. The total moment comes out at 0.0 μB/f.u.

A plane-wave DFT calculation with PBE-GGA was carried out for a relaxed PmNbAl crystal.

a = 13.744 Å, b = 3.081 Å, c = 3.081 Å
α = 89.97°, β = 90.00°, γ = 90.00°
Element x y z (fractional)
Pm1 0.176 0.000 0.000
Pm2 0.824 0.000 0.000
Nb1 0.365 0.501 0.501
Nb2 0.635 0.501 0.501
Al1 0.000 0.500 0.500
Al2 0.500 0.001 0.001

Results
The formation energy comes out at 49.3 meV/atom. The total moment comes out at 0.0 μB/f.u.

| no. | E_tot (eV per atom) |
| --- | --- |
| 1 | -5.6545 |
| 2 | -2.7307 |
| 3 | -4.3110 |
| 4 | -7.5483 |
| 5 | -6.0909 |
| 6 | -6.1383 |